No. 1
# GaFeBi2O6, optimized geometry, DFT PBE with a Hubbard U
# - total moment (μB per formula unit) = 5.02
# - relative energy among the computed polymorphs (eV per formula unit) = 0.00
# - Fermi-level density of states (states/eV/cell) = 0.00
data_GaFeBi2O6
_chemical_formula_sum 'Ga2 Fe2 Bi4 O12'
_symmetry_space_group_name_H-M 'C 1 m 1'
_symmetry_Int_Tables_number 8
_cell_length_a 9.8323
_cell_length_b 7.3824
_cell_length_c 3.8649
_cell_angle_alpha 90.00
_cell_angle_beta 94.46
_cell_angle_gamma 90.00
loop_
_symmetry_equiv_pos_as_xyz
'x,y,z'
'x,-y,z'
'x+1/2,y+1/2,z'
'x+1/2,-y+1/2,z'
loop_
_atom_site_label
_atom_site_type_symbol
_atom_site_fract_x
_atom_site_fract_y
_atom_site_fract_z
_atom_site_occupancy
Ga1 Ga 0.0000 0.0000 0.0000 1
Fe1 Fe 0.4973 0.0000 0.9997 1
Bi1 Bi 0.2853 0.2510 0.4250 1
O1 O 0.1869 0.5000 0.0576 1
O2 O 0.1882 0.0000 0.0545 1
O3 O 0.4243 0.2543 0.9994 1
O4 O 0.4317 0.0000 0.4939 1
O5 O 0.4349 0.5000 0.4972 1

***

No. 2
# GaFe2BiO6, optimized geometry, DFT PBE with a Hubbard U
# - total moment (μB per formula unit) = 10.00
# - total DFT energy (no corrections) (eV per cell) = -248.81
# - Fermi-level density of states (states/eV/cell) = 0.00
data_GaFe2BiO6
_chemical_formula_sum 'Ga4 Fe8 Bi4 O24'
_symmetry_space_group_name_H-M 'C 1 2/c 1'
_symmetry_Int_Tables_number 15
_cell_length_a 9.1330
_cell_length_b 11.1455
_cell_length_c 6.2334
_cell_angle_alpha 90.00
_cell_angle_beta 116.26
_cell_angle_gamma 90.00
loop_
_symmetry_equiv_pos_as_xyz
'x,y,z'
'-x,-y,-z'
'-x,y,-z+1/2'
'x,-y,z+1/2'
'x+1/2,y+1/2,z'
'-x+1/2,-y+1/2,-z'
'-x+1/2,y+1/2,-z+1/2'
'x+1/2,-y+1/2,z+1/2'
loop_
_atom_site_label
_atom_site_type_symbol
_atom_site_fract_x
_atom_site_fract_y
_atom_site_fract_z
_atom_site_occupancy
Ga1 Ga 0.0000 0.1951 0.2500 1
Fe1 Fe 0.1284 0.4196 0.6643 1
Bi1 Bi 0.0000 0.1003 0.7500 1
O1 O 0.0995 0.2553 0.5553 1
O2 O 0.1231 0.4424 0.9715 1
O3 O 0.1251 0.0745 0.1825 1

***

No. 3
# GaFeBi2O6, optimized geometry, DFT PBE with a Hubbard U
# - total moment (μB per formula unit) = 5.01
# - relative energy among the computed polymorphs (eV per formula unit) = 0.22
# - Fermi-level density of states (states/eV/cell) = 0.00
data_GaFeBi2O6
_chemical_formula_sum 'Ga2 Fe2 Bi4 O12'
_symmetry_space_group_name_H-M 'P 1 21/c 1'
_symmetry_Int_Tables_number 14
_cell_length_a 5.4744
_cell_length_b 5.7031
_cell_length_c 9.5581
_cell_angle_alpha 90.00
_cell_angle_beta 124.90
_cell_angle_gamma 90.00
loop_
_symmetry_equiv_pos_as_xyz
'x,y,z'
'-x,-y,-z'
'-x,y+1/2,-z+1/2'
'x,-y+1/2,z+1/2'
loop_
_atom_site_label
_atom_site_type_symbol
_atom_site_fract_x
_atom_site_fract_y
_atom_site_fract_z
_atom_site_occupancy
Ga1 Ga 0.0000 0.0000 0.0000 1
Fe1 Fe 0.5000 0.0000 0.5000 1
Bi1 Bi 0.2599 0.0531 0.7502 1
O1 O 0.1534 0.0280 0.2480 1
O2 O 0.2409 0.7018 0.0461 1
O3 O 0.3475 0.1984 0.0457 1

***

No. 4
# Ga2Fe2Bi2O9, optimized geometry, DFT PBE with a Hubbard U
# - total moment (μB per formula unit) = 2.01
# - total DFT energy (no corrections) (eV per cell) = -178.98
# - Fermi-level density of states (states/eV/cell) = 0.00
data_Ga2Fe2Bi2O9
_chemical_formula_sum 'Ga4 Fe4 Bi4 O18'
_symmetry_space_group_name_H-M 'P b a m'
_symmetry_Int_Tables_number 55
_cell_length_a 7.9449
_cell_length_b 8.2902
_cell_length_c 5.9588
_cell_angle_alpha 90.00
_cell_angle_beta 90.00
_cell_angle_gamma 90.00
loop_
_symmetry_equiv_pos_as_xyz
'x,y,z'
'-x,-y,-z'
'-x,-y,z'
'x,y,-z'
'x+1/2,-y+1/2,-z'
'-x+1/2,y+1/2,z'
'-x+1/2,y+1/2,-z'
'x+1/2,-y+1/2,z'
loop_
_atom_site_label
_atom_site_type_symbol
_atom_site_fract_x
_atom_site_fract_y
_atom_site_fract_z
_atom_site_occupancy
Ga1 Ga 0.1504 0.1653 0.0000 1
Fe1 Fe 0.0000 0.5000 0.2450 1
Bi1 Bi 0.1707 0.8333 0.5000 1
O1 O 0.0000 0.0000 0.0000 1
O2 O 0.1284 0.2949 0.2575 1
O3 O 0.1287 0.5921 0.0000 1
O4 O 0.1457 0.5683 0.5000 1